# 1
A plane-wave DFT calculation with PBE was carried out for a relaxed RbFeCu2 crystal.

Computed properties:
E above lowest polymorph (eV per atom): 0.000
Fermi-level density of states (states/eV per cell): 21.13
Crystal system: tetragonal

a = 5.045 Å, b = 5.045 Å, c = 16.354 Å
α = 90.00°, β = 90.00°, γ = 90.00°
Space group I4_1/amd (No. 141, origin choice 2)
Unique sites:
Rb  0.000  0.250  0.375 (multiplicity 4)
Fe  0.000  0.250  0.875 (multiplicity 4)
Cu  0.000  0.000  0.000 (multiplicity 8)



# 2
A plane-wave DFT calculation with PBE was carried out for a relaxed RbFe3Cu crystal.

Computed properties:
E above lowest polymorph (eV per atom): 0.000
Fermi-level density of states (states/eV per cell): 10.33
Crystal system: cubic

a = 4.730 Å, b = 4.730 Å, c = 4.730 Å
α = 90.00°, β = 90.00°, γ = 90.00°
Space group Pm-3m (No. 221)
Unique sites:
Rb  0.000  0.000  0.000 (multiplicity 1)
Fe  0.000  0.500  0.500 (multiplicity 3)
Cu  0.500  0.500  0.500 (multiplicity 1)



# 3
A plane-wave DFT calculation with PBE was carried out for a relaxed RbFe2Cu crystal.

Computed properties:
E above lowest polymorph (eV per atom): 0.000
Fermi-level density of states (states/eV per cell): 28.76
Crystal system: tetragonal

a = 4.821 Å, b = 4.821 Å, c = 17.315 Å
α = 90.00°, β = 90.00°, γ = 90.00°
Space group I4_1/amd (No. 141, origin choice 2)
Unique sites:
Rb  0.000  0.250  0.375 (multiplicity 4)
Fe  0.000  0.000  0.000 (multiplicity 8)
Cu  0.000  0.250  0.875 (multiplicity 4)



# 4
A plane-wave DFT calculation with PBE was carried out for a relaxed RbFe3Cu crystal.

Computed properties:
E above lowest polymorph (eV per atom): 1.394
Fermi-level density of states (states/eV per cell): 4.85
Crystal system: cubic

a = 4.609 Å, b = 4.609 Å, c = 4.609 Å
α = 90.00°, β = 90.00°, γ = 90.00°
Space group Pm-3m (No. 221)
Unique sites:
Rb  0.000  0.000  0.000 (multiplicity 1)
Fe  0.000  0.000  0.500 (multiplicity 3)
Cu  0.500  0.500  0.500 (multiplicity 1)



# 5
A plane-wave DFT calculation with PBE was carried out for a relaxed Rb2FeCu crystal.

Computed properties:
Fermi-level density of states (states/eV per cell): 12.83
Crystal system: cubic

a = 8.439 Å, b = 8.439 Å, c = 8.439 Å
α = 90.00°, β = 90.00°, γ = 90.00°
Space group Fm-3m (No. 225)
Unique sites:
Rb  0.250  0.250  0.250 (multiplicity 8)
Fe  0.000  0.000  0.000 (multiplicity 4)
Cu  0.000  0.000  0.500 (multiplicity 4)



# 6
A plane-wave DFT calculation with PBE was carried out for a relaxed Rb2Fe2Cu crystal.

Computed properties:
E above lowest polymorph (eV per atom): 0.171
Fermi-level density of states (states/eV per cell): 7.30
Crystal system: tetragonal

a = 10.142 Å, b = 10.142 Å, c = 3.057 Å
α = 90.00°, β = 90.00°, γ = 90.00°
Space group P4/mbm (No. 127)
Unique sites:
Rb  0.210  0.290  0.000 (multiplicity 4)
Fe  0.072  0.572  0.500 (multiplicity 4)
Cu  0.000  0.000  0.500 (multiplicity 2)



# 7
A plane-wave DFT calculation with PBE was carried out for a relaxed RbFeCu2 crystal.

Computed properties:
E above lowest polymorph (eV per atom): 0.413
Fermi-level density of states (states/eV per cell): 21.80
Crystal system: cubic

a = 6.913 Å, b = 6.913 Å, c = 6.913 Å
α = 90.00°, β = 90.00°, γ = 90.00°
Space group Fm-3m (No. 225)
Unique sites:
Rb  0.000  0.000  0.000 (multiplicity 4)
Fe  0.000  0.000  0.500 (multiplicity 4)
Cu  0.250  0.250  0.250 (multiplicity 8)



# 8
A plane-wave DFT calculation with PBE was carried out for a relaxed RbFeCu3 crystal.

Computed properties:
E above lowest polymorph (eV per atom): 1.450
Fermi-level density of states (states/eV per cell): 17.11
Crystal system: cubic

a = 5.127 Å, b = 5.127 Å, c = 5.127 Å
α = 90.00°, β = 90.00°, γ = 90.00°
Space group Pm-3m (No. 221)
Unique sites:
Rb  0.000  0.000  0.000 (multiplicity 1)
Fe  0.500  0.500  0.500 (multiplicity 1)
Cu  0.000  0.000  0.500 (multiplicity 3)



Ordered ΔH_f (0 K) results: 0.782 1.305 1.067 2.699 1.053 1.253 1.195 2.239; unit eV/atom.